First-principles (PBE) data for a geometry-optimized HgBiBr3 structure, as listed in Alexandria via LeMat-Bulk.

Results
- calculated volume (Å³ per atom) = 38.07
- space-group type = Pm-3m
- M_tot (Bohr magnetons per cell) = 0.000
- ρ (g cm⁻³) = 5.7
- final energy (eV/atom) = -2.2865
- raw formation energy (eV per atom) = -0.446

a = 5.7522 Å, b = 5.7522 Å, c = 5.7522 Å
α = 90.00°, β = 90.00°, γ = 90.00°
Closest atoms and distances in Å follow each position.
Fractional coordinates of all 5 atoms:
Bi: 0.0000 0.0000 0.0000  6 Br 2.88
Br: 0.0000 0.5000 0.0000  2 Bi 2.88
Br: 0.0000 0.0000 0.5000  2 Bi 2.88
Br: 0.5000 0.0000 0.0000  2 Bi 2.88
Hg: 0.5000 0.5000 0.5000  12 Br 4.07